! FeCoCl5 | Alexandria | PBE | optimized geometry; values from VASP
! symmetry	Pnma, No. 62
! ρ	2.1	Mg/m³
! formation energy without anion corrections	-0.548	eV/atom
&SYSTEM
  ibrav = 0, nat = 28, ntyp = 3
/
ATOMIC_SPECIES
Fe 55.84 Fe.upf
Co 58.93 Co.upf
Cl 35.45 Cl.upf
ATOMIC_POSITIONS angstrom
Fe 2.245 1.719 0.449
Fe 5.595 5.157 4.708
Fe 10.084 1.719 3.810
Fe 13.434 5.157 8.069
Co 0.162 5.157 2.775
Co 7.677 1.719 7.034
Co 8.002 5.157 1.484
Co 15.517 1.719 5.743
Cl 0.000 0.000 4.259
Cl 0.000 3.438 4.259
Cl 1.320 3.588 1.213
Cl 1.320 6.726 1.213
Cl 1.947 1.719 6.682
Cl 3.465 5.157 5.019
Cl 4.375 1.719 0.760
Cl 5.893 5.157 2.423
Cl 6.519 0.150 5.472
Cl 6.519 3.288 5.472
Cl 7.839 0.000 0.000
Cl 7.839 3.438 0.000
Cl 9.160 3.588 3.046
Cl 9.160 6.726 3.046
Cl 9.786 1.719 6.094
Cl 11.304 5.157 7.757
Cl 12.214 1.719 3.498
Cl 13.732 5.157 1.835
Cl 14.359 0.150 7.305
Cl 14.359 3.288 7.305
CELL_PARAMETERS angstrom
15.679 0.000 0.000
0.000 6.876 0.000
0.000 0.000 8.518

---

! Na2ZnAg2 | Alexandria | PBE | optimized geometry; values from VASP
! DFT formation energy	-0.035	eV/atom
! symmetry	Immm, No. 71
! ρ	4.7	Mg/m³
! energy relative to the lowest polymorph listed for this composition	0.0000	eV per atom
&SYSTEM
  ibrav = 0, nat = 5, ntyp = 3
/
ATOMIC_SPECIES
Na 22.99 Na.upf
Zn 65.41 Zn.upf
Ag 107.87 Ag.upf
ATOMIC_POSITIONS angstrom
Na 0.000 0.000 1.814
Na 0.000 0.000 7.412
Zn 0.000 2.801 0.000
Ag 2.247 1.373 0.000
Ag 0.000 1.428 4.613
CELL_PARAMETERS angstrom
-2.247 2.801 4.613
2.247 -2.801 4.613
2.247 2.801 -4.613

---

! BaZr4Sb | Alexandria | PBE | optimized geometry; values from VASP
! symmetry	F-43m, No. 216
! ρ	6.5	Mg/m³
! formation energy without anion corrections	0.369	eV/atom
&SYSTEM
  ibrav = 0, nat = 6, ntyp = 3
/
ATOMIC_SPECIES
Ba 137.33 Ba.upf
Zr 91.22 Zr.upf
Sb 121.76 Sb.upf
ATOMIC_POSITIONS angstrom
Ba 0.000 0.000 0.000
Zr 3.209 3.209 3.209
Zr 5.401 5.401 3.209
Zr 5.401 3.209 5.401
Zr 3.209 5.401 5.401
Sb 6.458 6.458 6.458
CELL_PARAMETERS angstrom
0.000 4.305 4.305
4.305 0.000 4.305
4.305 4.305 0.000

---

! Cs3Ni5H12 | Alexandria | PBE | optimized geometry; values from VASP
! symmetry	Ia-3d, No. 230
! ρ	5.0	Mg/m³
&SYSTEM
  ibrav = 0, nat = 80, ntyp = 3
/
ATOMIC_SPECIES
Cs 132.91 Cs.upf
Ni 58.69 Ni.upf
H 1.01 H.upf
ATOMIC_POSITIONS angstrom
Cs 3.074 1.537 0.000
Cs 6.149 3.074 -1.537
Cs 1.537 0.000 3.074
Cs 7.686 0.000 3.074
Cs 0.000 3.074 1.537
Cs 3.074 -1.537 6.149
Cs 3.074 7.686 0.000
Cs 6.149 3.074 4.611
Cs -1.537 6.149 3.074
Cs 4.611 6.149 3.074
Cs 0.000 3.074 7.686
Cs 3.074 4.611 6.149
Ni 0.000 0.000 0.000
Ni 3.074 3.074 -3.074
Ni 3.074 -3.074 3.074
Ni 6.149 0.000 0.000
Ni 9.223 1.537 0.000
Ni 6.149 -3.074 4.611
Ni 4.611 6.149 -3.074
Ni 4.611 0.000 3.074
Ni 3.074 4.611 0.000
Ni 6.149 3.074 1.537
Ni -3.074 3.074 3.074
Ni 0.000 6.149 0.000
Ni 0.000 0.000 6.149
Ni 3.074 3.074 3.074
Ni 0.000 3.074 4.611
Ni 3.074 1.537 6.149
Ni 1.537 6.149 3.074
Ni 1.537 0.000 9.223
Ni 0.000 9.223 1.537
Ni -3.074 4.611 6.149
H 4.640 -3.245 3.884
H 10.731 0.810 -0.170
H 9.052 2.264 -1.508
H 6.319 -4.583 5.339
H 7.714 0.810 0.170
H 7.657 -2.904 3.884
H 3.884 4.640 -3.245
H 5.339 -0.170 1.566
H 5.339 6.319 -4.583
H 3.884 -1.508 3.245
H 3.245 3.884 -1.508
H 5.978 1.566 0.810
H 9.393 2.264 1.508
H 5.978 -1.566 5.339
H 5.339 5.978 -1.566
H 3.884 1.508 2.904
H 3.884 7.657 -2.904
H 5.339 0.170 4.583
H 1.566 5.339 -0.170
H 7.657 2.904 2.264
H 2.904 3.884 1.508
H 6.319 4.583 0.810
H 4.583 5.339 0.170
H 4.640 3.245 2.264
H 1.508 2.904 3.884
H 1.566 0.810 5.978
H -0.170 1.566 5.339
H 3.245 2.264 4.640
H -1.508 3.245 3.884
H 4.583 0.810 6.319
H 0.810 5.978 1.566
H 2.264 -1.508 9.052
H 2.264 4.640 3.245
H 0.810 0.170 7.714
H 0.170 7.714 0.810
H -3.245 3.884 4.640
H 0.170 4.583 5.339
H 2.904 2.264 7.657
H 2.264 7.657 2.904
H 0.810 -0.170 10.731
H 0.810 6.319 4.583
H 2.264 1.508 9.393
H -1.508 9.052 2.264
H -1.566 5.339 5.978
H -0.170 10.731 0.810
H -2.904 3.884 7.657
H -4.583 5.339 6.319
H 1.508 9.393 2.264
CELL_PARAMETERS angstrom
-6.149 6.149 6.149
6.149 -6.149 6.149
6.149 6.149 -6.149

---

! Ba3Ag5Hg6 | Alexandria | PBE | optimized geometry; values from VASP
! DFT formation energy	-0.293	eV/atom
! symmetry	Pmmn, No. 59
! ρ	9.4	Mg/m³
&SYSTEM
  ibrav = 0, nat = 28, ntyp = 3
/
ATOMIC_SPECIES
Ba 137.33 Ba.upf
Ag 107.87 Ag.upf
Hg 200.59 Hg.upf
ATOMIC_POSITIONS angstrom
Ba 1.236 0.814 2.592
Ba 1.236 6.587 2.592
Ba 1.236 11.101 2.696
Ba 3.709 3.700 7.743
Ba 3.709 8.214 7.847
Ba 3.709 13.988 7.847
Ag 1.236 1.336 9.130
Ag 1.236 6.065 9.130
Ag 1.236 9.332 5.672
Ag 1.236 11.101 7.997
Ag 1.236 12.870 5.672
Ag 3.709 1.931 4.766
Ag 3.709 3.700 2.442
Ag 3.709 5.469 4.766
Ag 3.709 8.736 1.309
Ag 3.709 13.465 1.309
Hg 1.236 1.124 6.253
Hg 1.236 3.700 0.461
Hg 1.236 3.700 4.546
Hg 1.236 6.276 6.253
Hg 1.236 8.969 10.199
Hg 1.236 13.233 10.199
Hg 3.709 1.568 0.239
Hg 3.709 5.832 0.239
Hg 3.709 8.525 4.186
Hg 3.709 11.101 5.893
Hg 3.709 11.101 9.978
Hg 3.709 13.677 4.186
CELL_PARAMETERS angstrom
4.946 0.000 0.000
0.000 14.801 0.000
0.000 0.000 10.439

---

! MgCdIr2 | Alexandria | PBE | optimized geometry; values from VASP
! DFT formation energy	0.029	eV/atom
! symmetry	Pmmm, No. 47
! ρ	13.3	Mg/m³
&SYSTEM
  ibrav = 0, nat = 4, ntyp = 3
/
ATOMIC_SPECIES
Mg 24.30 Mg.upf
Cd 112.41 Cd.upf
Ir 192.22 Ir.upf
ATOMIC_POSITIONS angstrom
Mg 0.000 0.000 0.000
Cd 1.495 0.000 2.385
Ir 0.000 2.281 2.385
Ir 1.495 2.281 0.000
CELL_PARAMETERS angstrom
2.989 0.000 0.000
0.000 4.561 0.000
0.000 0.000 4.769

---

Number 1: uncorrected energy -4.09 eV/atom. Number 2: uncorrected energy -1.96 eV/atom. Number 3: uncorrected energy -6.34 eV/atom. Number 4: uncorrected energy -3.34 eV/atom. Number 5: uncorrected energy -1.85 eV/atom. Number 6: uncorrected energy -5.03 eV/atom.